(1)
# ErGa2Rh2

Crystalline ErGa2Rh2 at its relaxed geometry (PBE-GGA, Alexandria).

Unit cell a=7.4797 b=7.4797 c=2.9445 alpha=90.00 beta=90.00 gamma=90.00
With the nearest neighbours (Å) after each atom.
Space group P4/mbm (No. 127)
One atom of each set of equivalent atoms:
Er  0.0000  0.0000  0.0000 (multiplicity 2)  2 Er 2.94, 4 Ga 2.98, 8 Rh 3.12
Ga  0.1210  0.3790  0.0000 (multiplicity 4)  1 Ga 2.56, 6 Rh 2.59-2.71
Rh  0.1778  0.6778  0.5000 (multiplicity 4)  6 Ga 2.59-2.71

Calculated values
- total energy (eV per atom) = -5.773
- volume (Å³/atom) = 16.47
- crystal system = tetragonal
- ΔH_f (0 K) (eV per formula unit) = -3.55

---

(2)
# ZnTe

Crystalline ZnTe at its relaxed geometry (PBE-GGA, Alexandria).

Unit cell a=7.2833 b=7.2833 c=7.2833 alpha=90.00 beta=90.00 gamma=90.00
With the nearest neighbours (Å) after each atom.
Space group Fd-3m (No. 227, origin choice 2)
One atom of each set of equivalent atoms:
Zn  0.1250  0.1250  0.1250 (multiplicity 8)  4 Te 3.15, 4 Zn 3.15
Te  0.1250  0.1250  0.6250 (multiplicity 8)  4 Zn 3.15, 4 Te 3.15

Calculated values
- total energy (eV per atom) = -1.918
- volume (Å³/atom) = 24.15
- crystal system = cubic

---

(3)
# LiNiBr

Crystalline LiNiBr at its relaxed geometry (PBE-GGA, Alexandria).

Unit cell a=19.4302 b=3.3147 c=3.3857 alpha=90.00 beta=90.10 gamma=90.00
With the nearest neighbours (Å) after each atom.
Space group Cm (No. 8)
One atom of each set of equivalent atoms:
Li  0.0000  0.0000  0.0000 (multiplicity 2)  6 Br 2.62-2.71
Li  0.1692  0.0000  0.4940 (multiplicity 2)  1 Ni 2.54, 2 Br 2.59
Ni  0.2577  0.5000  0.9948 (multiplicity 2)  4 Ni 2.51
Ni  0.2999  0.0000  0.4953 (multiplicity 2)  4 Ni 2.51, 2 Br 2.51, 1 Li 2.54
Br  0.0670  0.5000  0.4997 (multiplicity 2)  6 Li 2.59-2.71
Br  0.3954  0.0000  0.9974 (multiplicity 2)  2 Ni 2.51, 2 Li 2.62

Calculated values
- total energy (eV per atom) = -3.515
- volume (Å³/atom) = 18.17
- distance to the lowest polymorph of the same formula (meV/atom) = 60.1
- crystal system = monoclinic

---

(4)
# Cr2FeHg

Crystalline Cr2FeHg at its relaxed geometry (PBE-GGA, Alexandria).

Unit cell a=3.9213 b=3.9213 c=7.6214 alpha=90.00 beta=90.00 gamma=90.00
With the nearest neighbours (Å) after each atom.
Space group I-4m2 (No. 119)
One atom of each set of equivalent atoms:
Cr  0.0000  0.0000  0.0000 (multiplicity 2)  4 Cr 2.73, 4 Fe 2.73, 4 Hg 2.77
Cr  0.0000  0.5000  0.2500 (multiplicity 2)  4 Hg 2.73, 4 Cr 2.73, 4 Fe 2.77
Fe  0.0000  0.5000  0.7500 (multiplicity 2)  8 Cr 2.73-2.77, 4 Hg 2.73
Hg  0.0000  0.0000  0.5000 (multiplicity 2)  8 Cr 2.73-2.77, 4 Fe 2.73

Calculated values
- total energy (eV per atom) = -6.524
- volume (Å³/atom) = 14.65
- crystal system = tetragonal
- ΔH_f (0 K) (eV per formula unit) = 1.92